A geometry-optimized Np3U5Se8 structure. Source: the Alexandria database, functional PBE-GGA.

```
Np3U5Se8
1.0
4.0434 2.3345 6.7408
-4.0434 2.3345 6.7408
0.0000 -4.6690 6.7408
Np U Se
3 5 8
Cartesian
-2.0217 -1.1672 6.7408
-2.0217 1.1672 13.4816
0.0000 2.3345 6.7408
0.0000 0.0000 0.0000
-4.0434 0.0000 10.1112
-2.0217 1.1672 3.3704
2.0217 1.1672 3.3704
0.0000 0.0000 10.1112
0.0000 -2.3318 8.4219
-2.0194 1.1659 8.4219
0.0000 0.0000 5.0725
-2.0194 -1.1659 11.8005
2.0194 1.1659 8.4219
0.0000 0.0000 15.1498
2.0194 -1.1659 11.8005
0.0000 2.3318 11.8005
```

Calculated values
final energy	-8.6924	eV/atom
total moment	15.63	μB/f.u.
formation energy from raw total energies	-996.2	meV per atom

A geometry-optimized Th4Te5Se2 structure. Source: the Alexandria database, functional PBE-GGA.

```
Th4Te5Se2
1.0
8.8708 -2.2781 0.0000
8.8708 2.2781 0.0000
-2.6128 0.0000 10.8875
Th Te Se
4 5 2
Cartesian
-0.7839 0.0000 3.3414
3.9303 0.0000 10.1519
11.1985 0.0000 0.7357
15.9127 0.0000 7.5461
2.3141 0.0000 2.9843
0.7733 0.0000 9.5220
7.5644 0.0000 5.4438
14.3555 0.0000 1.3655
12.8147 0.0000 7.9032
8.3841 0.0000 1.5739
6.7447 0.0000 9.3136
```

Calculated values
final energy	-5.9960	eV/atom
total moment	0.00	μB/f.u.
formation energy from raw total energies	-1236.3	meV per atom

A geometry-optimized Zr6InPd structure. Source: the Alexandria database, functional PBE-GGA.

```
Zr6InPd
1.0
-2.2441 2.2441 8.7081
2.2441 -2.2441 8.7081
2.2441 2.2441 -8.7081
Zr In Pd
6 1 1
Cartesian
2.2441 0.0000 2.0975
0.0000 0.0000 4.3616
2.2441 0.0000 6.6107
0.0000 2.2441 2.0975
0.0000 0.0000 13.0546
0.0000 2.2441 6.6107
0.0000 0.0000 0.0000
0.0000 0.0000 8.7081
```

Calculated values
final energy	-7.6339	eV/atom
total moment	0.00	μB/f.u.
formation energy from the elements	-231.4	meV/atom

A geometry-optimized Hf3Zr2As2 structure. Source: the Alexandria database, functional PBE-GGA.

```
Hf3Zr2As2
1.0
5.3277 -1.8788 0.0000
5.3277 1.8788 0.0000
-2.5007 0.0000 7.1198
Hf Zr As
3 2 2
Cartesian
0.0000 0.0000 0.0000
0.1917 0.0000 3.2225
7.9629 0.0000 3.8973
3.3134 0.0000 1.3828
4.8412 0.0000 5.7371
1.5921 0.0000 5.6329
6.5625 0.0000 1.4869
```

Calculated values
final energy	-8.7184	eV/atom
total moment	0.00	μB/f.u.
formation energy from the elements	-681.9	meV/atom

A geometry-optimized NaTcSb2I structure. Source: the Alexandria database, functional PBE-GGA.

```
NaTcSb2I
1.0
5.4253 0.0000 0.0000
0.0000 5.4253 0.0000
0.0000 0.0000 5.6176
Na Tc Sb I
1 1 2 1
Cartesian
0.0000 0.0000 0.0000
2.7126 2.7126 2.8088
0.0000 2.7126 0.0000
2.7126 0.0000 0.0000
0.0000 0.0000 2.8088
```

Calculated values
final energy	-2.9592	eV/atom
total moment	3.69	μB/f.u.
formation energy from raw total energies	1336.8	meV per atom

A geometry-optimized CsTc4P2 structure. Source: the Alexandria database, functional PBE-GGA.

```
CsTc4P2
1.0
2.0451 -9.0797 0.0000
2.0451 9.0797 0.0000
0.0000 0.0000 4.0359
Cs Tc P
1 4 2
Cartesian
0.0000 0.0000 0.0000
2.0451 5.4959 2.0180
2.0451 3.8022 0.0000
2.0451 -3.8022 0.0000
2.0451 -5.4959 2.0180
2.0451 2.3984 2.0180
2.0451 -2.3984 2.0180
```

Calculated values
final energy	-7.8527	eV/atom
total moment	0.00	μB/f.u.
formation energy from the elements	-261.6	meV/atom

A geometry-optimized HfNbZn2 structure. Source: the Alexandria database, functional PBE-GGA.

```
HfNbZn2
1.0
4.1661 0.0000 0.0000
0.0000 4.1661 0.0000
0.0000 0.0000 3.9440
Hf Nb Zn
1 1 2
Cartesian
0.0000 0.0000 0.0000
2.0830 2.0830 0.0000
0.0000 2.0830 1.9720
2.0830 0.0000 1.9720
```

Calculated values
final energy	-5.7747	eV/atom
total moment	0.00	μB/f.u.
formation energy from the elements	-132.0	meV/atom

A geometry-optimized EuHoErTl structure. Source: the Alexandria database, functional PBE-GGA.

```
EuHoErTl
1.0
0.0000 3.8874 3.8874
3.8874 0.0000 3.8874
3.8874 3.8874 0.0000
Eu Ho Er Tl
1 1 1 1
Cartesian
0.0000 0.0000 0.0000
1.9437 1.9437 1.9437
5.8311 5.8311 5.8311
3.8874 3.8874 3.8874
```

Calculated values
final energy	-5.4491	eV/atom
total moment	7.58	μB/f.u.
formation energy from the elements	-3.8	meV/atom

A geometry-optimized Rb2HfNiCl6 structure. Source: the Alexandria database, functional PBE-GGA.

```
Rb2HfNiCl6
1.0
-3.9884 3.9884 4.5469
3.9884 -3.9884 4.5469
3.9884 3.9884 -4.5469
Rb Hf Ni Cl
2 1 1 6
Cartesian
3.9884 0.0000 2.2735
0.0000 3.9884 2.2735
0.0000 0.0000 0.0000
0.0000 0.0000 4.5469
1.7600 1.7600 0.0000
2.2284 -2.2284 4.5469
0.0000 0.0000 2.4548
0.0000 0.0000 6.6390
-2.2284 2.2284 4.5469
2.2284 2.2284 4.5469
```

Calculated values
final energy	-4.3531	eV/atom
total moment	0.00	μB/f.u.
formation energy from raw total energies	-1478.1	meV per atom

A geometry-optimized RbDyPb structure. Source: the Alexandria database, functional PBE-GGA.

```
RbDyPb
1.0
5.3020 -1.8753 0.0000
5.3020 1.8753 0.0000
-1.4534 0.0000 13.6147
Rb Dy Pb
2 2 2
Cartesian
1.3679 0.0000 2.2249
7.7827 0.0000 11.3898
3.1696 0.0000 7.6890
5.9809 0.0000 5.9257
0.3020 0.0000 8.8551
8.8485 0.0000 4.7596
```

Calculated values
final energy	-3.2350	eV/atom
total moment	0.00	μB/f.u.
formation energy from the elements	-142.4	meV/atom

A geometry-optimized PmTiBr2 structure. Source: the Alexandria database, functional PBE-GGA.

```
PmTiBr2
1.0
1.7315 0.9997 9.6510
-1.7315 0.9997 9.6510
0.0000 -1.9993 9.6510
Pm Ti Br
1 1 2
Cartesian
0.0000 0.0000 0.0000
0.0000 0.0000 14.4766
0.0000 0.0000 3.0594
0.0000 0.0000 25.8937
```

Calculated values
final energy	-4.5818	eV/atom
total moment	0.82	μB/f.u.
formation energy from raw total energies	-583.9	meV per atom